[1]
4
Lattice="5.587 0.007 -0.027 4.650 3.097 -0.027 0.341 0.103 7.055" Properties=species:S:1:pos:R:3 comment="SiSbCl2 | Alexandria | GGA-PBE | optimized geometry" sg=Cm de_polymorph_ev_per_fu=1.118 final_energy_ha_per_atom=-0.12723 formation_energy_uncorrected_ev_per_atom=-0.15 pbc="T T T"
Sb 5.401 1.638 2.589
Cl 7.905 2.397 4.597
Cl 10.246 3.107 0.454
Si 2.551 0.774 2.808

[2]
4
Lattice="-0.574 -4.906 2.614 -1.483 0.430 -5.480 2.550 -1.291 -1.841" Properties=species:S:1:pos:R:3 comment="SiSbCl2 | Alexandria | GGA-PBE | optimized geometry" sg=C2/m de_polymorph_ev_per_fu=1.965 final_energy_ha_per_atom=-0.11945 formation_energy_uncorrected_ev_per_atom=0.06 pbc="T T T"
Cl 0.988 -3.098 0.387
Cl 0.000 0.000 0.000
Si -1.028 -2.238 -1.433
Sb 0.534 -0.430 -3.661

[3]
4
Lattice="-3.930 3.949 -1.190 -4.705 -2.630 -1.845 3.549 0.875 4.370" Properties=species:S:1:pos:R:3 comment="SiSbCl2 | Alexandria | GGA-PBE | optimized geometry" sg=Immm de_polymorph_ev_per_fu=1.895 final_energy_ha_per_atom=-0.12009 formation_energy_uncorrected_ev_per_atom=0.04 pbc="T T T"
Cl -4.146 0.633 -1.458
Cl -0.171 0.026 -0.060
Sb -2.349 2.742 0.831
Si -2.736 -0.548 0.503

[4]
10
Lattice="8.543 0.000 0.000 0.000 8.543 0.000 0.000 0.000 3.186" Properties=species:S:1:pos:R:3 comment="Si2SbCl2 | Alexandria | GGA-PBE | optimized geometry" sg=P4/mbm de_polymorph_ev_per_fu=0.000 final_energy_ha_per_atom=-0.13367 formation_energy_uncorrected_ev_per_atom=0.09 pbc="T T T"
Si 1.969 2.303 0.000
Si 6.574 6.241 0.000
Si 2.303 6.574 0.000
Si 6.241 1.969 0.000
Cl 3.186 1.086 1.593
Cl 7.458 3.186 1.593
Cl 5.357 7.458 1.593
Cl 1.086 5.357 1.593
Sb 0.000 0.000 0.000
Sb 4.272 4.272 0.000

[5]
4
Lattice="7.633 0.134 0.011 5.425 5.371 -0.011 -6.175 -3.593 2.692" Properties=species:S:1:pos:R:3 comment="SiSbCl2 | Alexandria | GGA-PBE | optimized geometry" sg=Imm2 de_polymorph_ev_per_fu=1.712 final_energy_ha_per_atom=-0.12177 formation_energy_uncorrected_ev_per_atom=0.00 pbc="T T T"
Si 3.322 2.448 1.340
Cl 13.048 5.501 0.000
Cl 4.210 -0.262 1.351
Sb 5.891 2.484 0.000

[6]
4
Lattice="3.979 0.000 0.000 0.000 3.980 0.000 0.000 0.000 7.992" Properties=species:S:1:pos:R:3 comment="SiSbCl2 | Alexandria | GGA-PBE | optimized geometry" sg=P4mm de_polymorph_ev_per_fu=0.000 final_energy_ha_per_atom=-0.13750 formation_energy_uncorrected_ev_per_atom=-0.43 pbc="T T T"
Si 1.989 1.990 4.750
Sb 0.000 0.000 5.110
Cl 1.989 1.990 2.643
Cl 0.000 0.000 7.477

| no. | density (g/cm³) |
| --- | --- |
| 1 | 3.0 |
| 2 | 4.1 |
| 3 | 4.2 |
| 4 | 3.6 |
| 5 | 3.4 |
| 6 | 2.9 |